# 1
A plane-wave DFT calculation with PBE was carried out for an optimized crystal structure of BaHI3.

Unit cell a=8.1054 b=8.9926 c=12.9539 alpha=90.00 beta=118.43 gamma=90.00
Last column: nearest neighbours and their distance in Å.
Space group P2_1/c (No. 14)
Inequivalent atoms, fractional coordinates:
Ba 0.1586 0.1371 0.2132  7 I 3.47-3.67
H 0.3071 0.5590 0.0819  2 I 1.86-1.99
I 0.1266 0.1617 0.9347  3 Ba 3.47-3.50
I 0.2553 0.6450 0.9277  1 H 1.99
I 0.3859 0.0022 0.7355  1 H 1.86

Output
Spin magnetization: 0.000 μB/atom
Polymorph energy (0 for the lowest one): 0.00 eV/f.u.
ρ: 4152 kg/m³
Total DFT energy (no corrections): -3.03 eV/atom
DOS(E_F): 0.00 states/eV/atom

---

# 2
A plane-wave DFT calculation with PBE was carried out for an optimized crystal structure of Sm6MgAl3.

Unit cell a=9.4350 b=5.2234 c=11.5979 alpha=90.00 beta=107.64 gamma=90.00
Last column: nearest neighbours and their distance in Å.
Space group P2_1/m (No. 11)
Inequivalent atoms, fractional coordinates:
Sm 0.0451 0.2500 0.4140  6 Al 3.18-3.35, 4 Sm 3.43-3.54
Sm 0.1539 0.7500 0.1804  5 Al 3.14-3.33, 1 Mg 3.39
Sm 0.2302 0.2500 0.9976  4 Al 3.12-3.28, 3 Mg 3.34-3.36
Sm 0.3255 0.7500 0.7903  3 Al 3.16-3.21, 3 Mg 3.28-3.34, 2 Sm 3.45
Sm 0.3745 0.2500 0.3467  4 Sm 3.13-3.43, 3 Al 3.28-3.36
Sm 0.3977 0.2500 0.6219  3 Al 3.12-3.16, 6 Sm 3.13-3.47, 1 Mg 3.24
Mg 0.4609 0.7500 0.0862  8 Sm 3.24-3.39, 2 Mg 3.50
Al 0.0399 0.7500 0.8787  8 Sm 3.14-3.33, 2 Al 3.45
Al 0.1205 0.2500 0.7151  8 Sm 3.12-3.35, 2 Al 3.45
Al 0.2721 0.7500 0.4731  8 Sm 3.16-3.36

Output
Spin magnetization: 0.000 μB/atom
ρ: 6142 kg/m³
Energy of formation from the pure elements: -223.3 meV/atom
Total DFT energy (no corrections): -4.34 eV/atom
DOS(E_F): 0.85 states/eV/atom

---

# 3
A plane-wave DFT calculation with PBE was carried out for an optimized crystal structure of Ca2HgP2.

Unit cell a=4.1674 b=4.1674 c=15.8539 alpha=90.00 beta=90.00 gamma=90.00
Last column: nearest neighbours and their distance in Å.
Space group I4/mmm (No. 139)
Inequivalent atoms, fractional coordinates:
Ca 0.0000 0.0000 0.1672  5 P 2.87-2.96
Hg 0.0000 0.0000 0.5000  2 P 2.41
P 0.0000 0.0000 0.3482  1 Hg 2.41

Output
Spin magnetization: 0.000 μB/atom
Polymorph energy (0 for the lowest one): 0.00 eV/f.u.
ρ: 4134 kg/m³
Energy of formation from the pure elements: -798.3 meV/atom
Total DFT energy (no corrections): -3.82 eV/atom
DOS(E_F): 0.04 states/eV/atom